(1)
Here is LiLa4Ti3O12 at its PBEsol-relaxed geometry from Alexandria. Energies are from SCAN.

DOS at the Fermi energy ... 0.1999 states/eV per atom
Energy relative to the elements, uncorrected ... -3.56 eV/atom

Cell: 5.5120 5.5700 7.7919 Å, 90.35 90.11 90.27°
With the nearest neighbours (Å) after each atom.
Space group P-1 (No. 2)
One atom of each set of equivalent atoms:
Li: 0.0000 0.0000 0.0000 (multiplicity 1)  6 O 2.07-2.10
La: 0.0094 0.4522 0.2382 (multiplicity 2)  7 O 2.36-2.62
La: 0.4941 0.9666 0.2398 (multiplicity 2)  4 O 2.35-2.57
Ti: 0.0000 0.0000 0.5000 (multiplicity 1)  6 O 1.92-2.02
Ti: 0.5000 0.5000 0.0000 (multiplicity 1)  6 O 1.93-2.00
Ti: 0.5000 0.5000 0.5000 (multiplicity 1)  6 O 1.98-1.99
O: 0.0804 0.9804 0.7396 (multiplicity 2)  1 Ti 1.92, 1 Li 2.08
O: 0.2163 0.6954 0.0390 (multiplicity 2)  1 Ti 1.93, 1 Li 2.10
O: 0.2220 0.7187 0.4553 (multiplicity 2)  2 Ti 1.99-2.02
O: 0.2805 0.2223 0.4579 (multiplicity 2)  2 Ti 1.98-2.01
O: 0.3033 0.2145 0.0379 (multiplicity 2)  1 Ti 1.94, 1 Li 2.07
O: 0.4253 0.4877 0.7484 (multiplicity 2)  2 Ti 1.98-2.00



(2)
Here is LiLaW2O8 at its PBEsol-relaxed geometry from Alexandria. Energies are from SCAN.

DOS at the Fermi energy ... 0.0000 states/eV per atom
Energy relative to the elements, uncorrected ... -2.69 eV/atom
Energy above the most stable polymorph in this dataset ... 21 meV/atom

Cell: 5.2918 5.2918 11.2429 Å, 90.00 90.00 90.00°
With the nearest neighbours (Å) after each atom.
Space group I-4 (No. 82)
One atom of each set of equivalent atoms:
Li: 0.0000 0.0000 0.0000 (multiplicity 2)  8 O 2.42-2.50
La: 0.0000 0.5000 0.7500 (multiplicity 2)  8 O 2.44-2.50
W: 0.0000 0.0000 0.5000 (multiplicity 2)  4 O 1.80
W: 0.0000 0.5000 0.2500 (multiplicity 2)  4 O 1.80
O: 0.1522 0.2589 0.1621 (multiplicity 8)  1 W 1.80
O: 0.1577 0.7652 0.5887 (multiplicity 8)  1 W 1.80



(3)
Here is LiLaW2O8 at its PBEsol-relaxed geometry from Alexandria. Energies are from SCAN.

DOS at the Fermi energy ... 0.0000 states/eV per atom
Energy relative to the elements, uncorrected ... -2.71 eV/atom
Energy above the most stable polymorph in this dataset ... 0 meV/atom

Cell: 7.1121 7.3819 7.5520 Å, 113.94 115.80 90.79°
With the nearest neighbours (Å) after each atom.
Space group P-1 (No. 2)
One atom of each set of equivalent atoms:
Li: 0.2409 0.3313 0.4954 (multiplicity 2)  3 O 1.94-2.03
La: 0.3178 0.7128 0.0419 (multiplicity 2)  8 O 2.44-2.59
W: 0.1446 0.0997 0.7811 (multiplicity 2)  4 O 1.77-1.96
W: 0.2432 0.7070 0.4730 (multiplicity 2)  3 O 1.80-1.82
O: 0.0175 0.1726 0.4910 (multiplicity 2)  1 Li 1.94, 2 W 2.03-2.14
O: 0.0562 0.4665 0.2535 (multiplicity 2)  1 W 1.82
O: 0.1154 0.8293 0.2445 (multiplicity 2)  1 W 1.88
O: 0.2063 0.0071 0.9773 (multiplicity 2)  1 W 1.77
O: 0.3179 0.6364 0.6926 (multiplicity 2)  1 W 1.80
O: 0.3209 0.3535 0.9330 (multiplicity 2)  1 W 1.83
O: 0.3617 0.0074 0.6936 (multiplicity 2)  2 W 1.96-2.03
O: 0.4628 0.6944 0.4121 (multiplicity 2)  1 W 1.80, 1 Li 1.95



(4)
Here is LiLaOs2 at its PBEsol-relaxed geometry from Alexandria. Energies are from SCAN.

DOS at the Fermi energy ... 0.5171 states/eV per atom
DFT formation energy ... -118 meV per atom
Energy above the most stable polymorph in this dataset ... 0 meV/atom

Cell: 4.2928 4.2928 15.0231 Å, 90.00 90.00 120.00°
With the nearest neighbours (Å) after each atom.
Space group R3m (No. 160, hexagonal axes)
One atom of each set of equivalent atoms:
Li: 0.0000 0.0000 0.0000 (multiplicity 3)  6 Os 2.64-2.69
La: 0.0000 0.0000 0.2016 (multiplicity 3)  7 Os 3.02-3.26, 4 Li 3.03-3.17
Os: 0.0000 0.0000 0.4023 (multiplicity 3)  3 Os 2.48, 3 Li 2.69
Os: 0.0000 0.0000 0.7270 (multiplicity 3)  3 Os 2.48, 3 Li 2.64



(5)
Here is Li2LaOs at its PBEsol-relaxed geometry from Alexandria. Energies are from SCAN.

DOS at the Fermi energy ... 0.5825 states/eV per atom
DFT formation energy ... 112 meV per atom
Energy above the most stable polymorph in this dataset ... 0 meV/atom

Cell: 10.6174 3.4306 4.5466 Å, 90.00 114.93 90.00°
With the nearest neighbours (Å) after each atom.
Space group C2/m (No. 12)
One atom of each set of equivalent atoms:
Li: 0.2202 0.0000 0.2182 (multiplicity 4)  2 Os 2.73, 4 Li 2.89-2.92
La: 0.0000 0.0000 0.5000 (multiplicity 2)  4 Os 2.85, 4 Li 3.10-3.11
Os: 0.0000 0.5000 0.0000 (multiplicity 2)  4 Li 2.73, 4 La 2.85



(6)
Here is LiLaOs2 at its PBEsol-relaxed geometry from Alexandria. Energies are from SCAN.

DOS at the Fermi energy ... 0.5732 states/eV per atom
DFT formation energy ... 554 meV per atom
Energy above the most stable polymorph in this dataset ... 672 meV/atom

Cell: 5.1474 8.9110 3.0614 Å, 90.00 90.00 90.00°
With the nearest neighbours (Å) after each atom.
Space group Cmmm (No. 65)
One atom of each set of equivalent atoms:
Li: 0.0000 0.0000 0.0000 (multiplicity 2)  2 La 2.57
La: 0.0000 0.5000 0.0000 (multiplicity 2)  2 Li 2.57
Os: 0.2500 0.2500 0.5000 (multiplicity 4)  2 Os 2.57



(7)
Here is LiLaOs2 at its PBEsol-relaxed geometry from Alexandria. Energies are from SCAN.

DOS at the Fermi energy ... 1.0724 states/eV per atom
DFT formation energy ... 763 meV per atom
Energy above the most stable polymorph in this dataset ... 881 meV/atom

Cell: 2.7125 2.7125 9.0359 Å, 90.00 90.00 90.00°
With the nearest neighbours (Å) after each atom.
Space group P4/mmm (No. 123)
One atom of each set of equivalent atoms:
Li: 0.0000 0.0000 0.0000 (multiplicity 1)  4 Li 2.71, 8 Os 2.75
La: 0.0000 0.0000 0.5000 (multiplicity 1)  4 La 2.71
Os: 0.5000 0.5000 0.2177 (multiplicity 2)  4 Os 2.71, 4 Li 2.75



(8)
Here is LiLa2Os at its PBEsol-relaxed geometry from Alexandria. Energies are from SCAN.

DOS at the Fermi energy ... 0.7285 states/eV per atom
DFT formation energy ... -97 meV per atom
Energy above the most stable polymorph in this dataset ... 31 meV/atom

Cell: 3.4472 3.4472 8.7872 Å, 90.00 90.00 90.00°
With the nearest neighbours (Å) after each atom.
Space group P4/mmm (No. 123)
One atom of each set of equivalent atoms:
Li: 0.0000 0.0000 0.0000 (multiplicity 1)  4 Li 3.45, 8 La 3.59
La: 0.5000 0.5000 0.3003 (multiplicity 2)  4 Os 3.00
Os: 0.0000 0.0000 0.5000 (multiplicity 1)  8 La 3.00



(9)
Here is LiLaOs2 at its PBEsol-relaxed geometry from Alexandria. Energies are from SCAN.

DOS at the Fermi energy ... 0.7435 states/eV per atom
DFT formation energy ... 392 meV per atom
Energy above the most stable polymorph in this dataset ... 509 meV/atom

Cell: 5.4460 9.4984 2.8714 Å, 90.00 117.02 90.00°
With the nearest neighbours (Å) after each atom.
Space group C2/m (No. 12)
One atom of each set of equivalent atoms:
Li: 0.0000 0.0000 0.0000 (multiplicity 2)  4 La 2.72-2.92, 4 Os 2.79, 2 Li 2.87
La: 0.0000 0.5000 0.0000 (multiplicity 2)  4 Li 2.72-2.92, 4 Os 2.79, 2 La 2.87
Os: 0.2500 0.2500 0.5000 (multiplicity 4)  6 Os 2.72-2.92, 2 La 2.79, 2 Li 2.79



(10)
Here is LiLaOs2 at its PBEsol-relaxed geometry from Alexandria. Energies are from SCAN.

DOS at the Fermi energy ... 0.6779 states/eV per atom
DFT formation energy ... 426 meV per atom
Energy above the most stable polymorph in this dataset ... 543 meV/atom

Cell: 6.5006 6.5006 6.5006 Å, 90.00 90.00 90.00°
With the nearest neighbours (Å) after each atom.
Space group F-43m (No. 216)
One atom of each set of equivalent atoms:
Li: 0.0000 0.0000 0.0000 (multiplicity 4)  4 La 2.81, 4 Os 2.81
La: 0.2500 0.2500 0.7500 (multiplicity 4)  4 Li 2.81, 4 Os 2.81
Os: 0.0000 0.0000 0.5000 (multiplicity 4)  4 La 2.81, 4 Os 2.81
Os: 0.2500 0.2500 0.2500 (multiplicity 4)  4 Li 2.81, 4 Os 2.81



(11)
Here is LiLa2Os at its PBEsol-relaxed geometry from Alexandria. Energies are from SCAN.

DOS at the Fermi energy ... 0.5514 states/eV per atom
DFT formation energy ... -128 meV per atom
Energy above the most stable polymorph in this dataset ... 0 meV/atom

Cell: 7.1626 7.1626 7.1626 Å, 90.00 90.00 90.00°
With the nearest neighbours (Å) after each atom.
Space group Fm-3m (No. 225)
One atom of each set of equivalent atoms:
Li: 0.0000 0.0000 0.0000 (multiplicity 4)  8 La 3.10
La: 0.2500 0.2500 0.2500 (multiplicity 8)  4 Li 3.10, 4 Os 3.10
Os: 0.0000 0.0000 0.5000 (multiplicity 4)  8 La 3.10



(12)
Here is LiLa2Os at its PBEsol-relaxed geometry from Alexandria. Energies are from SCAN.

DOS at the Fermi energy ... 0.8830 states/eV per atom
DFT formation energy ... 10 meV per atom
Energy above the most stable polymorph in this dataset ... 137 meV/atom

Cell: 3.4441 4.9200 11.9340 Å, 90.00 90.00 90.00°
With the nearest neighbours (Å) after each atom.
Space group Imm2 (No. 44)
One atom of each set of equivalent atoms:
Li: 0.0000 0.0000 0.0000 (multiplicity 2)  2 Os 2.73
La: 0.0000 0.0000 0.6341 (multiplicity 2)  2 Os 2.83
La: 0.0000 0.5000 0.8340 (multiplicity 2)  4 Os 3.01, 2 Li 3.16
Os: 0.0000 0.5000 0.3221 (multiplicity 2)  2 Li 2.73, 6 La 2.83-3.01



Question: The highest DOS at the Fermi energy belongs to which entry?
Answer: number 7



Question: DOS at the Fermi energy of number 9 (LiLaOs2)?
Answer: 0.7435 states/eV per atom



Question: What is the DOS at the Fermi energy in the ninth record?
Answer: 0.7435 states/eV per atom